Entry from Alexandria via LeMat-Bulk: a geometry-optimized AlAuC structure (GGA-PBE).

Summary:
Fermi-level density of states: 2.54 states/eV per cell
calculated total energy: -4.073 eV/atom
E_form: 129.5 kJ/mol of atoms

abc: 4.4275 4.4275 7.4890
angles: 90.00 90.00 120.00
Atoms (fractional coordinates):
C: 0.0000 0.0000 0.0000
C: 0.0000 0.0000 0.5000
Au: 0.3333 0.6667 0.2500
Au: 0.6667 0.3333 0.7500
Al: 0.0000 0.0000 0.2500
Al: 0.0000 0.0000 0.7500